# 1
The following is a PBE calculation of CrIr4Os after structural relaxation, from the Alexandria database.

**Size of the total moment**: 0.00 Bohr magnetons per cell
**VASP energy**: -9.501 eV per atom
**Distance to the lowest polymorph of the same formula**: 0.0 meV per atom
**DOS at the Fermi energy**: 0.858 states/eV per atom
**DFT formation energy**: -0.1177 eV/atom

Cell: 4.3388 7.2247 7.2247 Å, 21.85 90.00 90.00°
Sites, in units of the cell vectors:
1 Cr 0.0000 0.0000 0.0000
2 Ir 0.0000 0.3396 0.3396
3 Ir 0.0000 0.6651 0.6651
4 Ir 0.5000 0.5558 0.5558
5 Ir 0.5000 0.8910 0.8910
6 Os 0.5000 0.2227 0.2227

# 2
The following is a PBE calculation of Cr2IrOs after structural relaxation, from the Alexandria database.

**Size of the total moment**: 0.30 Bohr magnetons per cell
**VASP energy**: -9.807 eV per atom
**Distance to the lowest polymorph of the same formula**: 66.0 meV per atom
**DOS at the Fermi energy**: 1.288 states/eV per atom
**DFT formation energy**: 0.0272 eV/atom

Cell: 2.6841 3.7087 5.3342 Å, 90.00 90.00 90.00°
Sites, in units of the cell vectors:
1 Cr 0.0000 0.0000 0.0000
2 Cr 0.5000 0.5000 0.2439
3 Ir 0.0000 0.0000 0.4852
4 Os 0.5000 0.5000 0.7770

# 3
The following is a PBE calculation of CrIr3Os after structural relaxation, from the Alexandria database.

**Size of the total moment**: 0.03 Bohr magnetons per cell
**VASP energy**: -9.174 eV per atom
**Distance to the lowest polymorph of the same formula**: 275.7 meV per atom
**DOS at the Fermi energy**: 1.080 states/eV per atom
**DFT formation energy**: 0.3130 eV/atom

Cell: 7.0289 7.0289 8.5329 Å, 90.00 90.00 158.10°
Sites, in units of the cell vectors:
1 Cr 0.2287 0.7713 0.7500
2 Cr 0.7713 0.2287 0.2500
3 Ir 0.1059 0.8941 0.2500
4 Ir 0.3334 0.6666 0.0159
5 Ir 0.3334 0.6666 0.4841
6 Ir 0.6666 0.3334 0.5159
7 Ir 0.6666 0.3334 0.9841
8 Ir 0.8941 0.1059 0.7500
9 Os 0.4459 0.5541 0.2500
10 Os 0.5541 0.4459 0.7500

# 4
The following is a PBE calculation of Cr2Ir9Os after structural relaxation, from the Alexandria database.

**Size of the total moment**: 3.80 Bohr magnetons per cell
**VASP energy**: -9.318 eV per atom
**DOS at the Fermi energy**: 1.144 states/eV per atom
**DFT formation energy**: -0.1321 eV/atom

Cell: 3.8420 3.8420 11.5384 Å, 90.00 90.00 90.00°
Sites, in units of the cell vectors:
1 Cr 0.0000 0.0000 0.1616
2 Cr 0.0000 0.0000 0.8384
3 Ir 0.0000 0.5000 0.0000
4 Ir 0.0000 0.5000 0.3327
5 Ir 0.0000 0.5000 0.6673
6 Ir 0.5000 0.0000 0.0000
7 Ir 0.5000 0.0000 0.3327
8 Ir 0.5000 0.0000 0.6673
9 Ir 0.5000 0.5000 0.1666
10 Ir 0.5000 0.5000 0.5000
11 Ir 0.5000 0.5000 0.8334
12 Os 0.0000 0.0000 0.5000

# 5
The following is a PBE calculation of Cr2IrOs after structural relaxation, from the Alexandria database.

**Size of the total moment**: 0.00 Bohr magnetons per cell
**VASP energy**: -9.719 eV per atom
**Distance to the lowest polymorph of the same formula**: 154.5 meV per atom
**DOS at the Fermi energy**: 1.255 states/eV per atom
**DFT formation energy**: 0.1156 eV/atom

Cell: 8.7270 8.7270 8.7270 Å, 17.69 17.69 17.69°
Sites, in units of the cell vectors:
1 Cr 0.0000 0.0000 0.0000
2 Cr 0.2516 0.2516 0.2516
3 Ir 0.5060 0.5060 0.5060
4 Os 0.7455 0.7455 0.7455

# 6
The following is a PBE calculation of Cr2IrOs after structural relaxation, from the Alexandria database.

**Size of the total moment**: 4.86 Bohr magnetons per cell
**VASP energy**: -9.710 eV per atom
**Distance to the lowest polymorph of the same formula**: 163.4 meV per atom
**DOS at the Fermi energy**: 1.596 states/eV per atom
**DFT formation energy**: 0.1246 eV/atom

Cell: 4.2722 4.2722 4.2722 Å, 60.00 60.00 60.00°
Sites, in units of the cell vectors:
1 Cr 0.2500 0.2500 0.2500
2 Cr 0.7500 0.7500 0.7500
3 Ir 0.0000 0.0000 0.0000
4 Os 0.5000 0.5000 0.5000

# 7
The following is a PBE calculation of CrIr2Os after structural relaxation, from the Alexandria database.

**Size of the total moment**: 0.74 Bohr magnetons per cell
**VASP energy**: -9.772 eV per atom
**Distance to the lowest polymorph of the same formula**: 38.9 meV per atom
**DOS at the Fermi energy**: 0.642 states/eV per atom
**DFT formation energy**: -0.1277 eV/atom

Cell: 3.8122 3.8122 3.8243 Å, 90.00 90.00 90.00°
Sites, in units of the cell vectors:
1 Cr 0.0000 0.0000 0.0000
2 Ir 0.0000 0.5000 0.5000
3 Ir 0.5000 0.0000 0.5000
4 Os 0.5000 0.5000 0.0000

# 8
The following is a PBE calculation of Cr2IrOs after structural relaxation, from the Alexandria database.

**Size of the total moment**: 0.37 Bohr magnetons per cell
**VASP energy**: -9.822 eV per atom
**Distance to the lowest polymorph of the same formula**: 51.3 meV per atom
**DOS at the Fermi energy**: 1.324 states/eV per atom
**DFT formation energy**: 0.0124 eV/atom

Cell: 4.6054 4.6054 4.5648 Å, 99.36 99.36 33.77°
Sites, in units of the cell vectors:
1 Cr 0.0000 0.0000 0.0000
2 Cr 0.2457 0.2457 0.7368
3 Ir 0.7461 0.7461 0.2270
4 Os 0.4972 0.4972 0.5098

# 9
The following is a PBE calculation of Cr3Ir4Os after structural relaxation, from the Alexandria database.

**Size of the total moment**: 1.66 Bohr magnetons per cell
**VASP energy**: -9.310 eV per atom
**DOS at the Fermi energy**: 1.287 states/eV per atom
**DFT formation energy**: 0.1327 eV/atom

Cell: 9.6345 9.6345 9.6345 Å, 163.41 154.29 30.75°
Sites, in units of the cell vectors:
1 Cr 0.0000 0.0000 0.0000
2 Cr 0.2353 0.2353 0.0000
3 Cr 0.7647 0.7647 0.0000
4 Ir 0.1110 0.6110 0.5000
5 Ir 0.3508 0.8508 0.5000
6 Ir 0.6492 0.1492 0.5000
7 Ir 0.8890 0.3890 0.5000
8 Os 0.5000 0.5000 0.0000

# 10
The following is a PBE calculation of Cr2IrOs after structural relaxation, from the Alexandria database.

**Size of the total moment**: 0.00 Bohr magnetons per cell
**VASP energy**: -9.873 eV per atom
**Distance to the lowest polymorph of the same formula**: 0.0 meV per atom
**DOS at the Fermi energy**: 1.153 states/eV per atom
**DFT formation energy**: -0.0389 eV/atom

Cell: 4.5576 4.5538 3.7806 Å, 65.54 65.43 49.03°
Sites, in units of the cell vectors:
1 Cr 0.2500 0.2500 0.2500
2 Cr 0.7500 0.7500 0.7500
3 Ir 0.0000 0.0000 0.0000
4 Os 0.5000 0.5000 0.5000

# 11
The following is a PBE calculation of Cr4Ir3Os after structural relaxation, from the Alexandria database.

**Size of the total moment**: 0.00 Bohr magnetons per cell
**VASP energy**: -9.656 eV per atom
**DOS at the Fermi energy**: 1.183 states/eV per atom
**DFT formation energy**: -0.1179 eV/atom

Cell: 7.8664 7.8664 7.8664 Å, 152.08 152.08 39.90°
Sites, in units of the cell vectors:
1 Cr 0.1242 0.6242 0.5000
2 Cr 0.3758 0.8758 0.5000
3 Cr 0.6242 0.1242 0.5000
4 Cr 0.8758 0.3758 0.5000
5 Ir 0.0000 0.0000 0.0000
6 Ir 0.2492 0.2492 0.0000
7 Ir 0.7508 0.7508 0.0000
8 Os 0.5000 0.5000 0.0000

# 12
The following is a PBE calculation of CrIr2Os after structural relaxation, from the Alexandria database.

**Size of the total moment**: 1.32 Bohr magnetons per cell
**VASP energy**: -9.696 eV per atom
**Distance to the lowest polymorph of the same formula**: 114.5 meV per atom
**DOS at the Fermi energy**: 0.900 states/eV per atom
**DFT formation energy**: -0.0521 eV/atom

Cell: 4.6577 2.7100 4.6821 Å, 90.00 109.12 90.00°
Sites, in units of the cell vectors:
1 Cr 0.0000 0.0000 0.0000
2 Ir 0.0000 0.5000 0.5000
3 Ir 0.5000 0.0000 0.5000
4 Os 0.5000 0.5000 0.0000

# 13
The following is a PBE calculation of CrIrOs3 after structural relaxation, from the Alexandria database.

**Size of the total moment**: 0.00 Bohr magnetons per cell
**VASP energy**: -10.016 eV per atom
**Distance to the lowest polymorph of the same formula**: 0.0 meV per atom
**DOS at the Fermi energy**: 0.762 states/eV per atom
**DFT formation energy**: 0.4189 eV/atom

Cell: 7.6053 7.6053 8.2415 Å, 93.49 93.49 20.31°
Sites, in units of the cell vectors:
1 Cr 0.0336 0.0336 0.3806
2 Cr 0.9664 0.9664 0.6194
3 Ir 0.3839 0.3839 0.3766
4 Ir 0.6161 0.6161 0.6234
5 Os 0.0577 0.0577 0.8836
6 Os 0.1975 0.1975 0.3870
7 Os 0.3991 0.3991 0.8446
8 Os 0.6009 0.6009 0.1554
9 Os 0.8025 0.8025 0.6130
10 Os 0.9423 0.9423 0.1164